Record 1
Entry from Alexandria: a PBEsol-optimized structure of CaCrAu (meta-GGA SCAN).

Output
- raw total energy (Ry per atom) = -2.38361
- space-group type = F-43m, No. 216
- calculated formation energy (meV per atom) = -29
- total magnetization (μB per cell) = 4.73
- energy above the lowest structure with this stoichiometry (kJ per mole of atoms) = 21.1
- calculated density (g/cm3) = 6.92

Cell lengths 4.613, 4.613, 4.613 Å; angles 60.00, 60.00, 60.00 degrees
Atoms (fractional coordinates):
1 Cr 0.250 0.250 0.250
2 Ca 0.500 0.500 0.500
3 Au 0.000 0.000 0.000

---

Record 2
Entry from Alexandria: a PBEsol-optimized structure of BaLiCd (meta-GGA SCAN).

Output
- raw total energy (Ry per atom) = -1.78931
- space-group type = P-6m2, No. 187
- calculated formation energy (meV per atom) = -227
- total magnetization (μB per cell) = 0.00
- energy above the lowest structure with this stoichiometry (kJ per mole of atoms) = 0.0
- calculated density (g/cm3) = 4.43

Cell lengths 4.265, 5.107, 5.107 Å; angles 120.00, 90.00, 90.00 degrees
Atoms (fractional coordinates):
1 Cd 0.000 0.333 0.667
2 Ba 0.500 0.000 0.000
3 Li 0.000 0.667 0.333

---

Record 3
Entry from Alexandria: a PBEsol-optimized structure of Cs2CaCl4 (meta-GGA SCAN).

Output
- raw total energy (Ry per atom) = -1.41111
- space-group type = I4/mmm, No. 139
- raw formation energy (eV/f.u.) = -17.2
- total magnetization (μB per cell) = 0.00
- calculated density (g/cm3) = 3.08

Cell lengths 5.328, 5.328, 9.304 Å; angles 106.64, 106.64, 90.00 degrees
Atoms (fractional coordinates):
1 Cs 0.643 0.643 0.286
2 Cs 0.357 0.357 0.714
3 Ca 0.000 0.000 0.000
4 Cl 0.842 0.842 0.683
5 Cl 0.158 0.158 0.317
6 Cl 0.500 0.000 0.000
7 Cl 0.000 0.500 0.000

---

Record 4
Entry from Alexandria: a PBEsol-optimized structure of Te4AuO4F20 (meta-GGA SCAN).

Output
- raw total energy (Ry per atom) = -0.92391
- space-group type = P-1, No. 2
- raw formation energy (eV/f.u.) = -50.7
- total magnetization (μB per cell) = 1.00
- calculated density (g/cm3) = 4.28

Cell lengths 5.531, 8.559, 10.222 Å; angles 111.47, 95.85, 92.37 degrees
Atoms (fractional coordinates):
1 Te 0.727 0.384 0.247
2 Te 0.743 0.100 0.747
3 Te 0.273 0.616 0.753
4 Te 0.257 0.900 0.253
5 Au 0.500 0.000 0.000
6 O 0.760 0.151 0.135
7 O 0.710 0.955 0.851
8 O 0.240 0.849 0.865
9 O 0.290 0.045 0.149
10 F 0.572 0.326 0.378
11 F 0.890 0.931 0.616
12 F 0.428 0.674 0.622
13 F 0.110 0.069 0.384
14 F 0.887 0.454 0.124
15 F 0.591 0.271 0.875
16 F 0.113 0.546 0.876
17 F 0.409 0.729 0.125
18 F 0.425 0.382 0.146
19 F 0.046 0.188 0.853
20 F 0.575 0.618 0.854
21 F 0.954 0.812 0.147
22 F 0.027 0.388 0.348
23 F 0.439 0.018 0.641
24 F 0.973 0.612 0.652
25 F 0.561 0.982 0.359
26 F 0.707 0.609 0.357
27 F 0.788 0.237 0.646
28 F 0.293 0.391 0.643
29 F 0.212 0.763 0.354

---

Record 5
Entry from Alexandria: a PBEsol-optimized structure of LaHf2Au2 (meta-GGA SCAN).

Output
- raw total energy (Ry per atom) = -4.55312
- space-group type = I4/mmm, No. 139
- calculated formation energy (meV per atom) = -595
- total magnetization (μB per cell) = 0.00
- calculated density (g/cm3) = 12.51

Cell lengths 4.547, 4.547, 6.557 Å; angles 110.29, 110.29, 90.00 degrees
Atoms (fractional coordinates):
1 Hf 0.250 0.750 0.500
2 Hf 0.750 0.250 0.500
3 Au 0.383 0.383 0.766
4 Au 0.617 0.617 0.234
5 La 0.000 0.000 0.000

---

Record 6
Entry from Alexandria: a PBEsol-optimized structure of AlIrCl2 (meta-GGA SCAN).

Output
- raw total energy (Ry per atom) = -1.69872
- space-group type = F-43m, No. 216
- raw formation energy (eV/f.u.) = 2.4
- total magnetization (μB per cell) = 0.35
- energy above the lowest structure with this stoichiometry (kJ per mole of atoms) = 0.0
- calculated density (g/cm3) = 7.58

Cell lengths 4.480, 4.480, 4.480 Å; angles 60.00, 60.00, 60.00 degrees
Atoms (fractional coordinates):
1 Ir 0.250 0.250 0.250
2 Al 0.500 0.500 0.500
3 Cl 0.000 0.000 0.000
4 Cl 0.750 0.750 0.750

---

Record 7
Entry from Alexandria: a PBEsol-optimized structure of Zn4Co3 (meta-GGA SCAN).

Output
- raw total energy (Ry per atom) = -1.11245
- space-group type = I4/mmm, No. 139
- calculated formation energy (meV per atom) = 3
- total magnetization (μB per cell) = 4.79
- calculated density (g/cm3) = 8.71

Cell lengths 2.652, 2.652, 12.034 Å; angles 96.33, 96.33, 90.00 degrees
Atoms (fractional coordinates):
1 Zn 0.150 0.150 0.299
2 Zn 0.433 0.433 0.866
3 Zn 0.567 0.567 0.134
4 Zn 0.850 0.850 0.701
5 Co 0.000 0.000 0.000
6 Co 0.280 0.280 0.560
7 Co 0.720 0.720 0.440

---

Record 8
Entry from Alexandria: a PBEsol-optimized structure of KNa2BO3 (meta-GGA SCAN).

Output
- raw total energy (Ry per atom) = -0.61011
- space-group type = Pmmn, No. 59
- raw formation energy (eV/f.u.) = -15.2
- total magnetization (μB per cell) = 0.00
- calculated density (g/cm3) = 2.55

Cell lengths 5.585, 5.581, 6.003 Å; angles 90.00, 90.00, 90.00 degrees
Atoms (fractional coordinates):
1 K 0.927 0.500 0.500
2 K 0.073 0.000 0.000
3 Na 0.375 0.500 0.771
4 Na 0.375 0.500 0.229
5 Na 0.625 0.000 0.729
6 Na 0.625 0.000 0.271
7 B 0.797 0.500 0.000
8 B 0.203 0.000 0.500
9 O 0.666 0.286 0.000
10 O 0.334 0.214 0.500
11 O 0.046 0.500 0.000
12 O 0.954 0.000 0.500
13 O 0.334 0.786 0.500
14 O 0.666 0.714 0.000